[1]
Compound: CrPSe2
Source: Alexandria via LeMat-Bulk
Functional: PBE
Structure: optimized geometry

For the total energy, the calculation gives -43.5 eV per cell.

The space group is I4/mmm (No. 139) and the conventional cell measures 5.326, 5.326 and 5.317 Å, with angles of 90.00, 90.00 and 90.00 degrees. The inequivalent atoms are Cr at (0.000, 0.000, 0.000), P at (0.000, 0.000, 0.500) and Se at (0.000, 0.500, 0.000).

[2]
Compound: CrP3Se
Source: Alexandria via LeMat-Bulk
Functional: PBE
Structure: optimized geometry

For the total energy, the calculation gives -27.2 eV per cell. The calculation puts the energy relative to the lowest polymorph listed for this composition at 0.0000 eV/atom.

The space group is Pm-3m (No. 221) and the conventional cell measures 4.432, 4.432 and 4.432 Å, with angles of 90.00, 90.00 and 90.00 degrees. The inequivalent atoms are Cr at (0.000, 0.000, 0.000), P at (0.000, 0.000, 0.500) and Se at (0.500, 0.500, 0.500).